A geometry-optimized VHgSe structure, computed with PBE-GGA.

Cell lengths 3.5239, 3.5239, 6.2411 Å; angles 90.00, 90.00, 120.00 degrees
Space group P3m1 (No. 156)
Inequivalent atoms, fractional coordinates:
V 0.0000 0.0000 0.0000 [1 per cell]
Hg 0.3333 0.6667 0.6666 [1 per cell]
Se 0.6667 0.3333 0.2249 [1 per cell]

formation energy (no corrections) = -159.8 meV per atom

=====

A geometry-optimized ScReW2 structure, computed with PBE-GGA.

Cell lengths 6.400, 6.400, 6.400 Å; angles 90.00, 90.00, 90.00 degrees
Space group F-43m (No. 216)
Inequivalent atoms, fractional coordinates:
Sc 0.000 0.000 0.000 [4 per cell]
Re 0.250 0.250 0.250 [4 per cell]
W 0.000 0.000 0.500 [4 per cell]
W 0.250 0.250 0.750 [4 per cell]

ΔH_f (0 K) = 0.04 eV/atom
offset from the most stable computed form = 0.0591 eV per atom

=====

A geometry-optimized KAuI3 structure, computed with PBE-GGA.

Cell lengths 6.8742, 6.8742, 17.6330 Å; angles 90.00, 90.00, 120.00 degrees
Space group R-3m (No. 166, hexagonal axes)
Inequivalent atoms, fractional coordinates:
K 0.0000 0.0000 0.0000 [3 per cell]
Au 0.0000 0.0000 0.5000 [3 per cell]
I 0.0000 0.5000 0.5000 [9 per cell]

formation energy (no corrections) = -71.8 meV per atom

=====

A geometry-optimized LiNpF4 structure, computed with PBE-GGA.

Cell lengths 7.367, 7.367, 6.790 Å; angles 90.00, 90.00, 90.00 degrees
Space group I4_1md (No. 109)
Inequivalent atoms, fractional coordinates:
Li 0.000 0.000 0.000 [4 per cell]
Np 0.000 0.000 0.489 [4 per cell]
F 0.000 0.189 0.768 [8 per cell]
F 0.000 0.200 0.240 [8 per cell]

formation energy (no corrections) = -3167.1 meV per atom

=====

A geometry-optimized ScTaIrO6 structure, computed with PBE-GGA.

Cell lengths 4.773, 4.773, 9.389 Å; angles 90.00, 90.00, 90.00 degrees
Space group P4_2nm (No. 102)
Inequivalent atoms, fractional coordinates:
Sc 0.000 0.000 0.000 [2 per cell]
Ta 0.000 0.000 0.664 [2 per cell]
Ir 0.000 0.000 0.327 [2 per cell]
O 0.188 0.188 0.496 [4 per cell]
O 0.203 0.203 0.167 [4 per cell]
O 0.203 0.203 0.817 [4 per cell]

formation energy (no corrections) = -2270.0 meV per atom

=====

A geometry-optimized RbTlWSe4 structure, computed with PBE-GGA.

Cell lengths 7.384, 7.304, 10.026 Å; angles 90.00, 106.62, 90.00 degrees
Space group P2_1/m (No. 11)
Inequivalent atoms, fractional coordinates:
Rb 0.220 0.250 0.026 [2 per cell]
Tl 0.252 0.250 0.550 [2 per cell]
W 0.186 0.750 0.774 [2 per cell]
Se 0.011 0.506 0.296 [4 per cell]
Se 0.315 0.750 0.016 [2 per cell]
Se 0.416 0.750 0.657 [2 per cell]

formation energy (no corrections) = -618.5 meV per atom

=====

A geometry-optimized Be2Nb2Os5W structure, computed with PBE-GGA.

Cell lengths 9.466, 9.466, 3.128 Å; angles 90.00, 90.00, 90.00 degrees
Space group P4/mbm (No. 127)
Inequivalent atoms, fractional coordinates:
Be 0.121 0.379 0.000 [4 per cell]
Nb 0.174 0.674 0.000 [4 per cell]
Os 0.000 0.500 0.500 [2 per cell]
Os 0.072 0.211 0.500 [8 per cell]
W 0.000 0.000 0.000 [2 per cell]

ΔH_f (0 K) = -0.25 eV/atom

=====

A geometry-optimized CuSiCl2 structure, computed with PBE-GGA.

Cell lengths 3.193, 6.084, 8.129 Å; angles 90.00, 90.00, 90.00 degrees
Space group Immm (No. 71)
Inequivalent atoms, fractional coordinates:
Cu 0.000 0.000 0.000 [2 per cell]
Si 0.000 0.000 0.500 [2 per cell]
Cl 0.000 0.500 0.283 [4 per cell]

formation energy (no corrections) = 163.7 meV per atom
offset from the most stable computed form = 0.4809 eV per atom

=====

Asked for magnetization across the records above, the calculation gives 2.61, 0.00, 0.00, 4.00, 1.02, 0.00, 0.00, 0.00 μB/f.u. in order.